# Zn4P3

A relaxed structure of Zn4P3 (PBE-GGA, Alexandria via LeMat-Bulk).

The structure in extended XYZ format:
```
7
Lattice="-1.727 1.727 10.170 1.727 -1.727 10.170 1.727 1.727 -10.170" Properties=species:S:1:pos:R:3 pbc="T T T"
Zn 0.000 0.000 16.352
Zn 0.000 0.000 3.988
Zn 0.000 0.000 11.399
Zn 0.000 0.000 8.941
P 0.000 0.000 0.000
P 0.000 0.000 13.735
P 0.000 0.000 6.605
```

Polymorph energy (0 for the lowest one) ... 0.0 meV/atom
SG ... No. 139
Size of the total moment ... 0.0 μB per formula unit
Energy of formation ... 0.08 eV per atom
E ... -2.9709 eV per atom

---

# Mn2InSi2

A relaxed structure of Mn2InSi2 (PBE-GGA, Alexandria via LeMat-Bulk).

The structure in extended XYZ format:
```
10
Lattice="-1.412 -4.591 5.024 5.240 2.541 3.794 -1.785 1.874 1.210" Properties=species:S:1:pos:R:3 pbc="T T T"
Si 2.267 1.918 3.746
Si 2.703 0.177 7.085
Si -0.224 -2.094 6.283
Si -0.661 -0.353 2.944
Mn 3.973 0.546 5.015
Mn 2.182 -2.276 6.741
Mn -0.145 -2.596 3.803
Mn 1.646 0.226 2.077
In 0.000 0.000 0.000
In 1.914 -1.025 4.409
```

SG ... No. 127
Size of the total moment ... 2.2 μB per formula unit
Formation energy without anion corrections ... 0.03 eV per atom
E ... -6.3538 eV per atom

---

# CuRuPb

A relaxed structure of CuRuPb (PBE-GGA, Alexandria via LeMat-Bulk).

The structure in extended XYZ format:
```
3
Lattice="-3.138 3.637 1.561 -3.961 2.701 -1.585 -2.858 -1.390 1.164" Properties=species:S:1:pos:R:3 pbc="T T T"
Cu -2.906 -1.301 1.150
Pb -4.272 1.188 0.768
Ru -5.635 3.671 0.386
```

Polymorph energy (0 for the lowest one) ... 0.0 meV/atom
SG ... No. 107
Size of the total moment ... 0.0 μB per formula unit
Energy of formation ... 0.48 eV per atom
E ... -5.2118 eV per atom

---

# PrCu3Se3

A relaxed structure of PrCu3Se3 (PBE-GGA, Alexandria via LeMat-Bulk).

The structure in extended XYZ format:
```
14
Lattice="-6.341 3.191 -0.058 -3.915 0.224 5.917 -0.477 7.014 3.676" Properties=species:S:1:pos:R:3 pbc="T T T"
Pr -3.899 8.147 5.628
Pr -6.834 2.283 3.908
Cu -6.318 6.104 6.821
Cu -5.664 6.889 3.029
Cu -2.977 4.930 5.121
Cu -7.756 5.500 4.414
Cu -5.069 3.541 6.507
Cu -4.415 4.326 2.714
Se -3.923 2.686 4.449
Se -6.839 4.784 2.272
Se -7.472 3.910 6.332
Se -3.261 6.520 3.204
Se -3.894 5.646 7.263
Se -6.810 7.744 5.087
```

SG ... No. 148
Size of the total moment ... 0.0 μB per formula unit
Formation energy without anion corrections ... -0.74 eV per atom
E ... -4.6713 eV per atom

---

# ScBe2In

A relaxed structure of ScBe2In (PBE-GGA, Alexandria via LeMat-Bulk).

The structure in extended XYZ format:
```
4
Lattice="-6.838 -0.841 -4.832 -4.541 -1.658 -6.888 -5.709 -3.824 -4.858" Properties=species:S:1:pos:R:3 pbc="T T T"
Sc -12.816 -4.743 -12.434
Be -17.072 -6.318 -16.564
Be -8.559 -3.168 -8.304
In -4.272 -1.581 -4.145
```

SG ... No. 166
Size of the total moment ... 0.0 μB per formula unit
Energy of formation ... 0.53 eV per atom
E ... -3.6018 eV per atom

---

# Na3Y3NbO8

A relaxed structure of Na3Y3NbO8 (PBE-GGA, Alexandria via LeMat-Bulk).

The structure in extended XYZ format:
```
15
Lattice="6.768 0.000 0.000 -3.384 5.861 -0.021 0.000 -3.889 5.592" Properties=species:S:1:pos:R:3 pbc="T T T"
Na 0.000 0.000 0.000
Na -1.692 2.931 -0.010
Na 1.692 2.931 -0.010
Y 3.384 -1.944 2.796
Y 1.692 0.986 2.786
Y -1.692 0.986 2.786
Nb 0.000 -1.944 2.796
O 0.000 1.959 1.595
O 3.384 0.014 3.977
O 3.384 2.106 1.686
O 0.000 -0.133 3.885
O 5.203 -1.044 1.697
O -1.819 3.017 3.874
O 1.565 -1.044 1.697
O 1.819 3.017 3.874
```

SG ... No. 166
Size of the total moment ... 1.0 μB per formula unit
Formation energy without anion corrections ... -2.69 eV per atom
E ... -7.5598 eV per atom

---

# BaV3N

A relaxed structure of BaV3N (PBE-GGA, Alexandria via LeMat-Bulk).

The structure in extended XYZ format:
```
5
Lattice="-2.573 -2.290 -2.453 3.022 -0.238 -2.948 1.459 -3.547 1.782" Properties=species:S:1:pos:R:3 pbc="T T T"
V 1.511 -0.119 -1.474
V 0.729 -1.773 0.891
V -1.286 -1.145 -1.226
Ba 0.954 -3.037 -1.810
N 0.000 0.000 0.000
```

Polymorph energy (0 for the lowest one) ... 0.0 meV/atom
SG ... No. 221
Size of the total moment ... 0.8 μB per formula unit
Formation energy without anion corrections ... 0.53 eV per atom
E ... -6.9939 eV per atom

---

# Mg2Tc

A relaxed structure of Mg2Tc (PBE-GGA, Alexandria via LeMat-Bulk).

The structure in extended XYZ format:
```
3
Lattice="2.785 0.000 0.000 -1.392 7.010 -0.523 0.000 0.753 2.681" Properties=species:S:1:pos:R:3 pbc="T T T"
Mg 0.000 5.352 1.389
Mg 1.392 2.411 0.769
Tc 0.000 0.000 0.000
```

Polymorph energy (0 for the lowest one) ... 250.6 meV/atom
SG ... No. 139
Size of the total moment ... 0.0 μB per formula unit
Energy of formation ... 0.26 eV per atom
E ... -4.2622 eV per atom

---

Which formula does entry 6 have? Na3Y3NbO8